Below is VTeOF2 after structural relaxation, with properties calculated at the PBE+U level.

- Excess energy over the best structure of this formula in the dataset: 0 meV/atom
- Theoretical density: 5.291 Mg/m³
- Crystal system: tetragonal
- DOS at the Fermi energy: 1.8 states/eV/cell

Cell lengths 4.456, 4.456, 3.675 Å; angles 90.00, 90.00, 90.00 degrees
Space group P4/mmm (No. 123)
Inequivalent atoms, fractional coordinates:
V (0.000, 0.000, 0.000) x1
Te (0.500, 0.500, 0.500) x1
O (0.000, 0.000, 0.500) x1
F (0.000, 0.500, 0.000) x2